NbInPO | PBE | relaxed

Raw total energy in eV per formula unit: -25.22
ΔE to the lowest computed polymorph in meV per atom: 411

Unit cell a=3.665 b=3.665 c=10.059 alpha=90.00 beta=90.00 gamma=90.00
Sites, in units of the cell vectors:
1 Nb 0.000 0.000 0.121
2 Nb 0.500 0.500 0.879
3 O 0.500 0.000 0.000
4 O 0.000 0.500 0.000
5 In 0.500 0.000 0.500
6 In 0.000 0.500 0.500
7 P 0.500 0.500 0.240
8 P 0.000 0.000 0.760